Entry 1:
Compound: ReNiHg2Ru
Source: Alexandria
Functional: GGA-PBE
Structure: relaxed

Computed properties:
density	12.32	g/cm³
ΔH_f (0 K)	1526	meV/atom
total magnetization	0.59	μB/atom

Unit cell a=4.737 b=4.490 c=4.737 alpha=90.00 beta=90.00 gamma=90.00
Fractional coordinates of all 5 atoms:
Re 0.000 0.500 0.000
Ni 0.000 0.000 0.000
Hg 0.000 0.000 0.500
Hg 0.500 0.000 0.000
Ru 0.500 0.500 0.500

=====

Entry 2:
Compound: ReSiNi2Hg
Source: Alexandria
Functional: GGA-PBE
Structure: relaxed

Computed properties:
density	8.83	g/cm³
uncorrected formation energy	2011.9	meV/atom
total magnetization	0.77	μB/atom

Unit cell a=4.655 b=4.619 c=4.655 alpha=90.00 beta=90.00 gamma=90.00
Fractional coordinates of all 5 atoms:
Re 0.500 0.500 0.500
Si 0.000 0.500 0.000
Hg 0.000 0.000 0.000
Ni 0.000 0.000 0.500
Ni 0.500 0.000 0.000

=====

Entry 3:
Compound: VReNiHg2
Source: Alexandria
Functional: GGA-PBE
Structure: relaxed

Computed properties:
density	10.13	g/cm³
ΔH_f (0 K)	1590	meV/atom
total magnetization	0.19	μB/atom

Unit cell a=5.084 b=5.084 c=4.418 alpha=90.00 beta=90.00 gamma=90.00
Fractional coordinates of all 5 atoms:
Re 0.000 0.000 0.500
V 0.000 0.000 0.000
Hg 0.000 0.500 0.000
Hg 0.500 0.000 0.000
Ni 0.500 0.500 0.500

=====

Entry 4:
Compound: Re2NiHgW
Source: Alexandria
Functional: GGA-PBE
Structure: relaxed

Computed properties:
density	12.96	g/cm³
ΔH_f (0 K)	1946	meV/atom
total magnetization	0.34	μB/atom

Unit cell a=4.782 b=4.571 c=4.782 alpha=90.00 beta=90.00 gamma=90.00
Fractional coordinates of all 5 atoms:
Re 0.000 0.000 0.500
Re 0.500 0.000 0.000
Hg 0.500 0.500 0.500
W 0.000 0.000 0.000
Ni 0.000 0.500 0.000

=====

Entry 5:
Compound: YRe2NiHg
Source: Alexandria
Functional: GGA-PBE
Structure: relaxed

Computed properties:
density	9.11	g/cm³
ΔH_f (0 K)	2797	meV/atom
total magnetization	0.63	μB/atom

Unit cell a=4.915 b=5.437 c=4.915 alpha=90.00 beta=90.00 gamma=90.00
Fractional coordinates of all 5 atoms:
Y 0.000 0.000 0.000
Re 0.000 0.000 0.500
Re 0.500 0.000 0.000
Hg 0.000 0.500 0.000
Ni 0.500 0.500 0.500

=====

Entry 6:
Compound: NiHg2Rh
Source: Alexandria
Functional: GGA-PBE
Structure: relaxed

Computed properties:
density	13.62	g/cm³
ΔE to the lowest computed polymorph	104	meV per atom
ΔH_f (0 K)	289	meV/atom
total magnetization	0.06	μB/atom

Unit cell a=8.703 b=8.703 c=8.703 alpha=20.18 beta=20.18 gamma=20.18
Fractional coordinates of all 4 atoms:
Hg 0.996 0.996 0.996
Hg 0.504 0.504 0.504
Ni 0.250 0.250 0.250
Rh 0.750 0.750 0.750

=====

Entry 7:
Compound: NiHg2Rh
Source: Alexandria
Functional: GGA-PBE
Structure: relaxed

Computed properties:
density	13.71	g/cm³
ΔE to the lowest computed polymorph	43	meV per atom
ΔH_f (0 K)	228	meV/atom
total magnetization	0.14	μB/atom

Unit cell a=5.289 b=5.289 c=4.738 alpha=71.83 beta=71.83 gamma=32.95
Fractional coordinates of all 4 atoms:
Hg 0.984 0.984 0.056
Hg 0.769 0.769 0.689
Ni 0.521 0.521 0.537
Rh 0.226 0.226 0.218

=====

Entry 8:
Compound: NiHg2Rh
Source: Alexandria
Functional: GGA-PBE
Structure: relaxed

Computed properties:
density	13.97	g/cm³
ΔE to the lowest computed polymorph	5	meV per atom
ΔH_f (0 K)	190	meV/atom
total magnetization	0.00	μB/atom

Unit cell a=4.556 b=4.556 c=4.556 alpha=60.00 beta=60.00 gamma=60.00
Fractional coordinates of all 4 atoms:
Ni 0.000 0.000 0.000
Rh 0.500 0.500 0.500
Hg 0.250 0.250 0.250
Hg 0.750 0.750 0.750

=====

no.,E (eV per atom)
1,-4.0954
2,-3.9352
3,-4.0000
4,-6.8401
5,-4.6913
6,-3.1455
7,-3.2065
8,-3.2442